[1]
Crystalline La2BePb at its relaxed geometry, computed with PBE.

The calculation puts the total energy at -4.51 eV per atom. Its calculated formation energy is -185.5 meV per atom. The volume is 234.1 Å³/cell. For the density of states at the Fermi level, the calculation gives 8.737 states/eV per cell.

The space group is Amm2 (No. 38) and the conventional cell measures 4.306, 4.628 and 11.744 Å, with angles of 90.00, 90.00 and 90.00 degrees. The asymmetric unit holds La at (0.000, 0.000, 0.000), La at (0.500, 0.000, 0.291), Be at (0.500, 0.000, 0.575) and Pb at (0.000, 0.000, 0.707).


[2]
Crystalline LaBe2Pb at its relaxed geometry, computed with PBE.

The calculation puts the total energy at -4.07 eV per atom. Its calculated formation energy is -48.7 meV per atom. The volume is 169.1 Å³/cell. For the density of states at the Fermi level, the calculation gives 4.941 states/eV per cell.

The space group is Cm (No. 8) and the conventional cell measures 6.881, 3.975 and 6.597 Å, with angles of 90.00, 110.40 and 90.00 degrees. The asymmetric unit holds La at (0.000, 0.000, 0.000), Be at (0.275, 0.500, 0.323), Be at (0.441, 0.000, 0.322) and Pb at (0.191, 0.000, 0.571).


[3]
Crystalline LaBePb2 at its relaxed geometry, computed with PBE.

The calculation puts the total energy at -3.94 eV per atom. Its calculated formation energy is 81.2 meV per atom. The volume is 215.2 Å³/cell. For the density of states at the Fermi level, the calculation gives 5.476 states/eV per cell.

The space group is I4/mmm (No. 139) and the conventional cell measures 4.574, 4.574 and 10.289 Å, with angles of 90.00, 90.00 and 90.00 degrees. The asymmetric unit holds La at (0.000, 0.000, 0.000), Be at (0.000, 0.000, 0.500) and Pb at (0.000, 0.500, 0.250).


[4]
Crystalline La2BePb at its relaxed geometry, computed with PBE.

The calculation puts the total energy at -4.25 eV per atom. Its calculated formation energy is 75.2 meV per atom. The volume is 251.1 Å³/cell. For the density of states at the Fermi level, the calculation gives 9.982 states/eV per cell.

The space group is C2/m (No. 12) and the conventional cell measures 9.008, 3.892 and 7.355 Å, with angles of 90.00, 103.10 and 90.00 degrees. The asymmetric unit holds La at (0.239, 0.000, 0.218), Be at (0.000, 0.500, 0.000) and Pb at (0.000, 0.000, 0.500).


[5]
Crystalline LaBePb at its relaxed geometry, computed with PBE.

The calculation puts the total energy at -3.82 eV per atom. Its calculated formation energy is 296.1 meV per atom. The volume is 351.1 Å³/cell. For the density of states at the Fermi level, the calculation gives 9.025 states/eV per cell.

The space group is F-43m (No. 216) and the conventional cell measures 7.054, 7.054 and 7.054 Å, with angles of 90.00, 90.00 and 90.00 degrees. The asymmetric unit holds La at (0.000, 0.000, 0.000), Be at (0.000, 0.000, 0.500) and Pb at (0.250, 0.250, 0.750).


[6]
Crystalline LaBe3Pb at its relaxed geometry, computed with PBE.

The calculation puts the total energy at -3.10 eV per atom. Its calculated formation energy is 867.8 meV per atom. The volume is 107.2 Å³/cell. For the density of states at the Fermi level, the calculation gives 2.296 states/eV per cell.

The space group is Pm-3m (No. 221) and the conventional cell measures 4.750, 4.750 and 4.750 Å, with angles of 90.00, 90.00 and 90.00 degrees. The asymmetric unit holds La at (0.000, 0.000, 0.000), Be at (0.000, 0.500, 0.500) and Pb at (0.500, 0.500, 0.500).


[7]
Crystalline La2BePd6Pb at its relaxed geometry, computed with PBE.

The calculation puts the total energy at -5.44 eV per atom. Its calculated formation energy is -599.6 meV per atom. The volume is 203.1 Å³/cell. For the density of states at the Fermi level, the calculation gives 3.165 states/eV per cell.

The space group is P-1 (No. 2) and the conventional cell measures 5.793, 5.831 and 7.638 Å, with angles of 69.41, 67.88 and 60.23 degrees. The asymmetric unit holds La at (0.228, 0.328, 0.218), Be at (0.500, 0.500, 0.500), Pd at (0.160, 0.814, 0.360), Pd at (0.298, 0.630, 0.772), Pd at (0.334, 0.186, 0.640) and Pb at (0.000, 0.000, 0.000).


[8]
Crystalline LaBe2PtPb at its relaxed geometry, computed with PBE.

The calculation puts the total energy at -4.51 eV per atom. Its calculated formation energy is -80.5 meV per atom. The volume is 110.4 Å³/cell. For the density of states at the Fermi level, the calculation gives 4.403 states/eV per cell.

The space group is P4/mmm (No. 123) and the conventional cell measures 4.515, 4.515 and 5.418 Å, with angles of 90.00, 90.00 and 90.00 degrees. The asymmetric unit holds La at (0.000, 0.000, 0.000), Be at (0.000, 0.500, 0.500), Pt at (0.500, 0.500, 0.500) and Pb at (0.500, 0.500, 0.000).


[9]
Crystalline LaBe2TlPb at its relaxed geometry, computed with PBE.

The calculation puts the total energy at -3.10 eV per atom. Its calculated formation energy is 587.5 meV per atom. The volume is 133.2 Å³/cell. For the density of states at the Fermi level, the calculation gives 2.115 states/eV per cell.

The space group is P4/mmm (No. 123) and the conventional cell measures 4.649, 4.649 and 6.166 Å, with angles of 90.00, 90.00 and 90.00 degrees. The asymmetric unit holds La at (0.000, 0.000, 0.000), Be at (0.000, 0.500, 0.500), Tl at (0.500, 0.500, 0.500) and Pb at (0.500, 0.500, 0.000).


[10]
Crystalline LaBePd6 at its relaxed geometry, computed with PBE.

The calculation puts the total energy at -5.33 eV per atom. Its calculated formation energy is -353.9 meV per atom. The volume is 433.6 Å³/cell. For the density of states at the Fermi level, the calculation gives 23.053 states/eV per cell.

The space group is R-3m (No. 166, hexagonal axes) and the conventional cell measures 5.8264, 5.8264 and 14.7504 Å, with angles of 90.00, 90.00 and 120.00 degrees. The asymmetric unit holds La at (0.0000, 0.0000, 0.0000), Be at (0.0000, 0.0000, 0.5000) and Pd at (0.0243, 0.5122, 0.9113).


[11]
Crystalline LaBe2Pd6 at its relaxed geometry, computed with PBE.

The calculation puts the total energy at -5.17 eV per atom. Its calculated formation energy is -334.8 meV per atom. The volume is 1292.1 Å³/cell. For the density of states at the Fermi level, the calculation gives 26.698 states/eV per cell.

The space group is Fd-3m (No. 227, origin choice 2) and the conventional cell measures 10.892, 10.892 and 10.892 Å, with angles of 90.00, 90.00 and 90.00 degrees. The asymmetric unit holds La at (0.125, 0.125, 0.125), Be at (0.000, 0.000, 0.500) and Pd at (0.104, 0.375, 0.875).


[12]
Crystalline LaBePd at its relaxed geometry, computed with PBE.

The calculation puts the total energy at -5.08 eV per atom. Its calculated formation energy is -466.4 meV per atom. The volume is 62.0 Å³/cell. For the density of states at the Fermi level, the calculation gives 2.208 states/eV per cell.

The space group is P-6m2 (No. 187) and the conventional cell measures 4.1819, 4.1819 and 4.0948 Å, with angles of 90.00, 90.00 and 120.00 degrees. The asymmetric unit holds La at (0.0000, 0.0000, 0.0000), Be at (0.3333, 0.6667, 0.5000) and Pd at (0.6667, 0.3333, 0.5000).